# LuCdCoBi | the Open Quantum Materials Database | PBE | relaxed
data_LuCdCoBi
_chemical_formula_sum 'Lu1 Cd1 Co1 Bi1'
_cell_length_a 4.924
_cell_length_b 4.924
_cell_length_c 4.924
_cell_angle_alpha 60.00
_cell_angle_beta 60.00
_cell_angle_gamma 60.00
_symmetry_space_group_name_H-M 'P 1'
_symmetry_Int_Tables_number 1
loop_
_symmetry_equiv_pos_as_xyz
'x,y,z'
loop_
_atom_site_label
_atom_site_type_symbol
_atom_site_fract_x
_atom_site_fract_y
_atom_site_fract_z
Lu1 Lu 0.000 0.000 0.000
Cd1 Cd 0.750 0.750 0.750
Co1 Co 0.500 0.500 0.500
Bi1 Bi 0.250 0.250 0.250
# polymorph energy (0 for the lowest one) = 0 meV per atom
# calculated total energy = -4.05 eV per atom
# total moment = 0.24 μB per atom